Entry 1:
Entry from the Alexandria database: PmZn2PdPt after structural relaxation (PBE-GGA).

a = 4.0272 Å, b = 3.8706 Å, c = 6.7075 Å
α = 106.77°, β = 107.47°, γ = 90.00°
Closest atoms and distances in Å follow each position.
Sites, in units of the cell vectors:
1 Pt 0.8456 0.8456 0.6911  3 Zn 2.54-2.69, 2 Pd 2.77
2 Pd 0.1893 0.6893 0.3787  6 Zn 2.55-2.79, 2 Pt 2.77
3 Pm 0.4310 0.4310 0.8621  4 Pt 2.98, 4 Zn 3.17
4 Zn 0.6924 0.1924 0.3849  2 Zn 2.63, 2 Pt 2.69, 4 Pd 2.79
5 Zn 0.0538 0.0538 0.1075  1 Pt 2.54, 2 Pd 2.55, 2 Zn 2.63

ΔE_f	-0.6695	eV/atom

---

Entry 2:
Entry from the Alexandria database: ZrMnNb after structural relaxation (PBE-GGA).

a = 3.1646 Å, b = 3.1646 Å, c = 5.5762 Å
α = 106.48°, β = 106.48°, γ = 90.00°
Closest atoms and distances in Å follow each position.
Sites, in units of the cell vectors:
1 Mn 0.6769 0.6769 0.3539  4 Nb 2.64, 4 Zr 2.81
2 Zr 0.0098 0.0098 0.0197  4 Mn 2.81, 5 Nb 3.01-3.10
3 Nb 0.3132 0.3132 0.6264  4 Mn 2.64

ΔE_f	-0.0270	eV/atom

---

Entry 3:
Entry from the Alexandria database: ZrReAu2N after structural relaxation (PBE-GGA).

a = 5.3324 Å, b = 3.9044 Å, c = 5.3324 Å
α = 90.00°, β = 90.00°, γ = 90.00°
Closest atoms and distances in Å follow each position.
Sites, in units of the cell vectors:
1 Au 0.5000 0.0000 0.0000  2 Zr 2.67
2 Au 0.0000 0.0000 0.5000  2 Zr 2.67
3 Re 0.5000 0.5000 0.5000  8 Au 3.30
4 Zr 0.0000 0.0000 0.0000  2 N 1.95
5 N 0.0000 0.5000 0.0000  2 Zr 1.95

E_form (uncorrected)	1.351	eV per atom

---

Entry 4:
Entry from the Alexandria database: Cu2Ni2W after structural relaxation (PBE-GGA).

a = 6.8446 Å, b = 6.8446 Å, c = 2.6269 Å
α = 90.00°, β = 90.00°, γ = 90.00°
Closest atoms and distances in Å follow each position.
Sites, in units of the cell vectors:
1 Ni 0.3234 0.1766 0.5000  6 Cu 2.35-2.46, 2 Ni 2.63
2 Ni 0.1766 0.6766 0.5000  6 Cu 2.35-2.46, 2 Ni 2.63
3 Ni 0.6766 0.8234 0.5000  6 Cu 2.35-2.46, 2 Ni 2.63
4 Ni 0.8234 0.3234 0.5000  6 Cu 2.35-2.46, 2 Ni 2.63
5 Cu 0.8778 0.6222 0.0000  6 Ni 2.35-2.46, 3 Cu 2.37-2.63
6 Cu 0.3778 0.8778 0.0000  6 Ni 2.35-2.46, 3 Cu 2.37-2.63
7 Cu 0.1222 0.3778 0.0000  6 Ni 2.35-2.46, 3 Cu 2.37-2.63
8 Cu 0.6222 0.1222 0.0000  6 Ni 2.35-2.46, 3 Cu 2.37-2.63
9 W 0.0000 0.0000 0.0000  2 W 2.63, 4 Cu 2.72, 8 Ni 2.84
10 W 0.5000 0.5000 0.0000  2 W 2.63, 4 Cu 2.72, 8 Ni 2.84

ΔE_f	0.2320	eV/atom

---

Number 1: theoretical density 10.1 g/cm³. Number 2: theoretical density 7.8 g/cm³. Number 3: theoretical density 10.3 g/cm³. Number 4: theoretical density 11.6 g/cm³.